VASP calculation (PBE+U) on an optimized crystal structure of Li2NbNiO4.

The calculation puts the total moment at 5.2 Bohr magnetons per cell. Its total DFT energy (no corrections) is -6.465 eV/atom. The calculated density is 4.93 g/cm3.

It has space group I-4m2 (No. 119), with a = 4.1848 Å, b = 4.1848 Å, c = 8.8244 Å, α = 90.00°, β = 90.00° and γ = 90.00°. Symmetry generates all atoms from Li at (0.0000, 0.0000, 0.0000), Li at (0.0000, 0.5000, 0.2500), Nb at (0.0000, 0.0000, 0.5000), Ni at (0.0000, 0.5000, 0.7500), O at (0.0000, 0.0000, 0.2664) and O at (0.0000, 0.5000, 0.5059).